1.
DFT (PBE) results for a relaxed structure of ZrWSe2.

Results
SG: F-43m, No. 216
Uncorrected energy (eV per formula unit): -26.87
Uncorrected formation energy (eV per atom): 0.399
Crystal system: cubic
Total magnetic moment (Bohr magnetons per cell): 0.00
E above lowest polymorph (meV/atom): 821

abc: 6.708 6.708 6.708
angles: 90.00 90.00 90.00
Sites, in units of the cell vectors:
Zr1 0.000 0.000 0.000
Zr2 0.000 0.500 0.500
Zr3 0.500 0.000 0.500
Zr4 0.500 0.500 0.000
W1 0.250 0.250 0.250
W2 0.250 0.750 0.750
W3 0.750 0.250 0.750
W4 0.750 0.750 0.250
Se1 0.000 0.000 0.500
Se2 0.000 0.500 0.000
Se3 0.250 0.250 0.750
Se4 0.250 0.750 0.250
Se5 0.500 0.000 0.000
Se6 0.500 0.500 0.500
Se7 0.750 0.250 0.250
Se8 0.750 0.750 0.750

2.
DFT (PBE) results for a relaxed structure of ZrWSe2.

Results
SG: Fm-3m, No. 225
Uncorrected energy (eV per formula unit): -29.17
Uncorrected formation energy (eV per atom): -0.176
Crystal system: cubic
Total magnetic moment (Bohr magnetons per cell): 6.21
E above lowest polymorph (meV/atom): 246

abc: 6.537 6.537 6.537
angles: 90.00 90.00 90.00
Sites, in units of the cell vectors:
Zr1 0.000 0.000 0.000
Zr2 0.000 0.500 0.500
Zr3 0.500 0.000 0.500
Zr4 0.500 0.500 0.000
W1 0.000 0.000 0.500
W2 0.000 0.500 0.000
W3 0.500 0.000 0.000
W4 0.500 0.500 0.500
Se1 0.250 0.250 0.250
Se2 0.250 0.250 0.750
Se3 0.250 0.750 0.250
Se4 0.250 0.750 0.750
Se5 0.750 0.250 0.250
Se6 0.750 0.250 0.750
Se7 0.750 0.750 0.250
Se8 0.750 0.750 0.750

3.
DFT (PBE) results for a relaxed structure of ZrWSe2.

Results
SG: C2/m, No. 12
Uncorrected energy (eV per formula unit): -29.30
Uncorrected formation energy (eV per atom): -0.208
Crystal system: monoclinic
Total magnetic moment (Bohr magnetons per cell): 0.00
E above lowest polymorph (meV/atom): 214

abc: 7.937 3.289 5.796
angles: 90.00 102.61 90.00
Sites, in units of the cell vectors:
Zr1 0.000 0.000 0.000
Zr2 0.500 0.500 0.000
W1 0.000 0.500 0.500
W2 0.500 0.000 0.500
Se1 0.243 0.000 0.722
Se2 0.257 0.500 0.278
Se3 0.743 0.500 0.722
Se4 0.757 0.000 0.278

Number 1: theoretical density 9.53 g/cm3. Number 2: theoretical density 10.30 g/cm3. Number 3: theoretical density 9.74 g/cm3.